# SmBeF4

SmBeF4 after structural relaxation (GGA-PBE, Alexandria via LeMat-Bulk).

Cell: 8.2401 6.4478 6.3619 Å, 90.00 90.00 90.00°
Space group Pna2_1 (No. 33)
One atom of each set of equivalent atoms:
Sm1 0.1438 0.0789 0.0000 [4 per cell]
Be1 0.0430 0.5975 0.1962 [4 per cell]
F1 0.0922 0.7146 0.4159 [4 per cell]
F2 0.0957 0.7327 0.0101 [4 per cell]
F3 0.1449 0.4106 0.7121 [4 per cell]
F4 0.1485 0.3962 0.2056 [4 per cell]

Raw total energy   -141.79 eV per cell



# Dy3Zr

Dy3Zr after structural relaxation (GGA-PBE, Alexandria via LeMat-Bulk).

Cell: 3.4881 5.4884 6.1062 Å, 90.00 90.00 90.00°
Space group Pmm2 (No. 25)
One atom of each set of equivalent atoms:
Dy1 0.0000 0.0000 0.0000 [1 per cell]
Dy2 0.0000 0.5000 0.3361 [1 per cell]
Dy3 0.5000 0.5000 0.8152 [1 per cell]
Zr1 0.5000 0.0000 0.4976 [1 per cell]

Formation energy from the elements   0.079 eV/atom
Energy above the most stable polymorph in this dataset   0 meV per atom